Arrangement i

VASP calculation (PBE) on a relaxed structure of NbSi3Cl.

Cell lengths 4.9362, 4.9362, 4.9362 Å; angles 90.00, 90.00, 90.00 degrees
Sites, in units of the cell vectors:
Nb1 0.0000 0.0000 0.0000
Si1 0.0000 0.5000 0.0000
Si2 0.0000 0.0000 0.5000
Si3 0.5000 0.0000 0.0000
Cl1 0.5000 0.5000 0.5000

Results
symmetry	No. 221
total moment	0.0	μB/cell

---

Arrangement ii

VASP calculation (PBE) on a relaxed structure of NbSi3Cl.

Cell lengths 4.4995, 4.4995, 4.4995 Å; angles 90.00, 90.00, 90.00 degrees
Sites, in units of the cell vectors:
Nb1 0.5000 0.5000 0.5000
Si1 0.0000 0.5000 0.0000
Si2 0.0000 0.0000 0.5000
Si3 0.5000 0.0000 0.0000
Cl1 0.0000 0.0000 0.0000

Results
symmetry	No. 221
total moment	0.0	μB/cell

---

Name the most stable of them. arrangement i.

---

Arrangement i

VASP calculation (PBE) on a relaxed structure of Nb2SiCl.

Cell lengths 6.6626, 6.6626, 5.7498 Å; angles 54.59, 54.59, 90.00 degrees
Sites, in units of the cell vectors:
Nb1 0.6441 0.1250 0.2500
Nb2 0.1059 0.6250 0.2500
Nb3 0.3750 0.3559 0.7500
Nb4 0.8750 0.8941 0.7500
Si1 0.5000 0.5000 0.0000
Si2 0.2500 0.7500 0.5000
Cl1 0.0000 0.0000 0.0000
Cl2 0.7500 0.2500 0.5000

Results
symmetry	No. 122
total moment	0.0	μB/cell

---

Arrangement ii

VASP calculation (PBE) on a relaxed structure of Nb2SiCl.

Cell lengths 4.5133, 4.5133, 4.5133 Å; angles 60.00, 60.00, 60.00 degrees
Last column: magnetic moment on the atom in μB.
Sites, in units of the cell vectors:
Nb1 0.2500 0.2500 0.2500  0.36
Nb2 0.7500 0.7500 0.7500  0.36
Si1 0.0000 0.0000 0.0000  -0.02
Cl1 0.5000 0.5000 0.5000  -0.01

Results
symmetry	No. 225
total moment	0.9	μB/cell

---

Name the most stable of them. arrangement ii.

---

Arrangement i

VASP calculation (PBE) on a relaxed structure of Nb3SnCl.

Cell lengths 4.5932, 4.5932, 4.5932 Å; angles 90.00, 90.00, 90.00 degrees
Sites, in units of the cell vectors:
Nb1 0.0000 0.5000 0.0000
Nb2 0.0000 0.0000 0.5000
Nb3 0.5000 0.0000 0.0000
Sn1 0.5000 0.5000 0.5000
Cl1 0.0000 0.0000 0.0000

Results
symmetry	No. 221
total moment	0.0	μB/cell

---

Arrangement ii

VASP calculation (PBE) on a relaxed structure of Nb3SnCl.

Cell lengths 5.1657, 5.1657, 5.1657 Å; angles 90.00, 90.00, 90.00 degrees
Sites, in units of the cell vectors:
Nb1 0.0000 0.5000 0.0000
Nb2 0.0000 0.0000 0.5000
Nb3 0.5000 0.0000 0.0000
Sn1 0.0000 0.0000 0.0000
Cl1 0.5000 0.5000 0.5000

Results
symmetry	No. 221
total moment	0.0	μB/cell

---

Name the most stable of them. arrangement i.

---

Arrangement i

VASP calculation (PBE) on a relaxed structure of NbSnCl3.

Cell lengths 5.0873, 5.0873, 5.0873 Å; angles 90.00, 90.00, 90.00 degrees
Last column: magnetic moment on the atom in μB.
Sites, in units of the cell vectors:
Nb1 0.0000 0.0000 0.0000  2.17
Sn1 0.5000 0.5000 0.5000  0.23
Cl1 0.0000 0.5000 0.0000  0.00
Cl2 0.0000 0.0000 0.5000  -0.01
Cl3 0.5000 0.0000 0.0000  0.05

Results
symmetry	No. 221
total moment	3.3	μB/cell

---

Arrangement ii

VASP calculation (PBE) on a relaxed structure of NbSnCl3.

Cell lengths 5.4664, 5.4664, 5.4664 Å; angles 90.00, 90.00, 90.00 degrees
Last column: magnetic moment on the atom in μB.
Sites, in units of the cell vectors:
Nb1 0.5000 0.5000 0.5000  3.15
Sn1 0.0000 0.0000 0.0000  0.00
Cl1 0.0000 0.5000 0.0000  0.00
Cl2 0.0000 0.0000 0.5000  0.00
Cl3 0.5000 0.0000 0.0000  0.00

Results
symmetry	No. 221
total moment	4.0	μB/cell

---

Name the most stable of them. arrangement i.

---

Arrangement i

VASP calculation (PBE) on a relaxed structure of NbSn2Cl.

Cell lengths 5.0815, 5.0815, 5.0815 Å; angles 60.00, 60.00, 60.00 degrees
Last column: magnetic moment on the atom in μB.
Sites, in units of the cell vectors:
Nb1 0.5000 0.5000 0.5000  1.26
Sn1 0.2500 0.2500 0.2500  0.03
Sn2 0.7500 0.7500 0.7500  0.03
Cl1 0.0000 0.0000 0.0000  0.07

Results
symmetry	No. 225
total moment	1.8	μB/cell

---

Arrangement ii

VASP calculation (PBE) on a relaxed structure of NbSn2Cl.

Cell lengths 6.3490, 6.3490, 8.2628 Å; angles 67.41, 67.41, 90.00 degrees
Last column: magnetic moment on the atom in μB.
Sites, in units of the cell vectors:
Nb1 0.0000 0.0000 0.0000  0.14
Nb2 0.7500 0.2500 0.5000  0.14
Sn1 0.6588 0.1250 0.2500  0.00
Sn2 0.0912 0.6250 0.2500  0.00
Sn3 0.3750 0.3412 0.7500  0.00
Sn4 0.8750 0.9088 0.7500  0.01
Cl1 0.5000 0.5000 0.0000  0.00
Cl2 0.2500 0.7500 0.5000  0.00

Results
symmetry	No. 122
total moment	0.4	μB/cell

---

Name the most stable of them. arrangement i.

---

Arrangement i

VASP calculation (PBE) on a relaxed structure of SrNb3Cl.

Cell lengths 5.0568, 5.0568, 5.0568 Å; angles 90.00, 90.00, 90.00 degrees
Sites, in units of the cell vectors:
Sr1 0.0000 0.0000 0.0000
Nb1 0.0000 0.5000 0.0000
Nb2 0.0000 0.0000 0.5000
Nb3 0.5000 0.0000 0.0000
Cl1 0.5000 0.5000 0.5000

Results
symmetry	No. 221
total moment	0.0	μB/cell

---

Arrangement ii

VASP calculation (PBE) on a relaxed structure of SrNb3Cl.

Cell lengths 4.7759, 4.7759, 4.7759 Å; angles 90.00, 90.00, 90.00 degrees
Sites, in units of the cell vectors:
Sr1 0.5000 0.5000 0.5000
Nb1 0.0000 0.5000 0.0000
Nb2 0.0000 0.0000 0.5000
Nb3 0.5000 0.0000 0.0000
Cl1 0.0000 0.0000 0.0000

Results
symmetry	No. 221
total moment	0.0	μB/cell

---

Name the most stable of them. arrangement ii.

---

Arrangement i

VASP calculation (PBE) on a relaxed structure of SrNb2Cl.

Cell lengths 3.8759, 3.8759, 14.4030 Å; angles 82.27, 82.27, 90.00 degrees
Sites, in units of the cell vectors:
Sr1 0.0000 0.0000 0.0000
Sr2 0.7500 0.2500 0.5000
Nb1 0.6361 0.1250 0.2500
Nb2 0.1139 0.6250 0.2500
Nb3 0.3750 0.3639 0.7500
Nb4 0.8750 0.8861 0.7500
Cl1 0.5000 0.5000 0.0000
Cl2 0.2500 0.7500 0.5000

Results
symmetry	No. 122
total moment	0.0	μB/cell

---

Arrangement ii

VASP calculation (PBE) on a relaxed structure of SrNb2Cl.

Cell lengths 4.9373, 4.9373, 4.9373 Å; angles 60.00, 60.00, 60.00 degrees
Sites, in units of the cell vectors:
Sr1 0.5000 0.5000 0.5000
Nb1 0.2500 0.2500 0.2500
Nb2 0.7500 0.7500 0.7500
Cl1 0.0000 0.0000 0.0000

Results
symmetry	No. 225
total moment	0.0	μB/cell

---

Name the most stable of them. arrangement i.

---

Arrangement i

VASP calculation (PBE) on a relaxed structure of Sr2NbCl2.

Cell lengths 6.1000, 6.1000, 6.0888 Å; angles 59.94, 59.94, 90.00 degrees
Last column: magnetic moment on the atom in μB.
Sites, in units of the cell vectors:
Sr1 0.7500 0.2500 0.5000  0.11
Sr2 0.2500 0.7500 0.5000  0.11
Nb1 0.0000 0.0000 0.0000  2.57
Cl1 0.2958 0.2958 0.4085  0.03
Cl2 0.7042 0.7042 0.5915  0.03

Results
symmetry	No. 139
total moment	4.7	μB/cell

---

Arrangement ii

VASP calculation (PBE) on a relaxed structure of Sr2NbCl2.

Cell lengths 8.5994, 8.5994, 3.5166 Å; angles 90.00, 90.00, 90.00 degrees
Sites, in units of the cell vectors:
Sr1 0.1735 0.6735 0.5000
Sr2 0.6735 0.8265 0.5000
Sr3 0.8265 0.3265 0.5000
Sr4 0.3265 0.1735 0.5000
Nb1 0.0000 0.0000 0.0000
Nb2 0.5000 0.5000 0.0000
Cl1 0.3687 0.8687 0.0000
Cl2 0.8687 0.6313 0.0000
Cl3 0.6313 0.1313 0.0000
Cl4 0.1313 0.3687 0.0000

Results
symmetry	No. 127
total moment	0.0	μB/cell

---

Name the most stable of them. arrangement i.

---

Arrangement i

VASP calculation (PBE) on a relaxed structure of TaNbCl2.

Cell lengths 4.4837, 4.4837, 4.4837 Å; angles 60.00, 60.00, 60.00 degrees
Sites, in units of the cell vectors:
Nb1 0.0000 0.0000 0.0000
Cl1 0.2500 0.2500 0.2500
Cl2 0.7500 0.7500 0.7500
Ta1 0.5000 0.5000 0.5000

Results
symmetry	No. 225
total moment	0.0	μB/cell

---

Arrangement ii

VASP calculation (PBE) on a relaxed structure of TaNbCl2.

Cell lengths 8.9520, 8.9520, 8.9520 Å; angles 19.72, 19.72, 19.72 degrees
Sites, in units of the cell vectors:
Nb1 0.5000 0.5000 0.5000
Cl1 0.9042 0.9042 0.9042
Cl2 0.0958 0.0958 0.0958
Ta1 0.0000 0.0000 0.0000

Results
symmetry	No. 166
total moment	0.0	μB/cell

---

Arrangement iii

VASP calculation (PBE) on a relaxed structure of TaNbCl2.

Cell lengths 5.9461, 5.9461, 6.2424 Å; angles 61.56, 61.56, 90.00 degrees
Sites, in units of the cell vectors:
Nb1 0.5000 0.5000 0.0000
Nb2 0.2500 0.7500 0.5000
Cl1 0.6281 0.1250 0.2500
Cl2 0.1219 0.6250 0.2500
Cl3 0.3750 0.3719 0.7500
Cl4 0.8750 0.8781 0.7500
Ta1 0.0000 0.0000 0.0000
Ta2 0.7500 0.2500 0.5000

Results
symmetry	No. 122
total moment	0.0	μB/cell

---

Name the most stable of them. arrangement ii.

---

Arrangement i

VASP calculation (PBE) on a relaxed structure of Ta2Nb2Cl.

Cell lengths 7.6246, 7.6246, 3.4733 Å; angles 90.00, 90.00, 90.00 degrees
Sites, in units of the cell vectors:
Nb1 0.1380 0.6380 0.5000
Nb2 0.6380 0.8620 0.5000
Nb3 0.8620 0.3620 0.5000
Nb4 0.3620 0.1380 0.5000
Cl1 0.0000 0.0000 0.0000
Cl2 0.5000 0.5000 0.0000
Ta1 0.3571 0.8571 0.0000
Ta2 0.8571 0.6429 0.0000
Ta3 0.6429 0.1429 0.0000
Ta4 0.1429 0.3571 0.0000

Results
symmetry	No. 127
total moment	0.0	μB/cell

---

Arrangement ii

VASP calculation (PBE) on a relaxed structure of Ta2Nb2Cl.

Cell lengths 3.7464, 3.7464, 7.8650 Å; angles 76.22, 76.22, 90.00 degrees
Sites, in units of the cell vectors:
Nb1 0.7500 0.2500 0.5000
Nb2 0.2500 0.7500 0.5000
Cl1 0.0000 0.0000 0.0000
Ta1 0.3959 0.3959 0.2082
Ta2 0.6041 0.6041 0.7918

Results
symmetry	No. 139
total moment	0.0	μB/cell

---

Name the most stable of them. arrangement i.

---

Arrangement i

VASP calculation (PBE) on a relaxed structure of Ta2NbCl.

Cell lengths 4.6873, 4.6873, 4.6873 Å; angles 60.00, 60.00, 60.00 degrees
Sites, in units of the cell vectors:
Nb1 0.5000 0.5000 0.5000
Cl1 0.0000 0.0000 0.0000
Ta1 0.2500 0.2500 0.2500
Ta2 0.7500 0.7500 0.7500

Results
symmetry	No. 225
total moment	0.0	μB/cell

---

Arrangement ii

VASP calculation (PBE) on a relaxed structure of Ta2NbCl.

Cell lengths 3.9021, 3.9021, 10.3593 Å; angles 79.14, 79.14, 90.00 degrees
Sites, in units of the cell vectors:
Nb1 0.0000 0.0000 0.0000
Nb2 0.7500 0.2500 0.5000
Cl1 0.5000 0.5000 0.0000
Cl2 0.2500 0.7500 0.5000
Ta1 0.6306 0.1250 0.2500
Ta2 0.1194 0.6250 0.2500
Ta3 0.3750 0.3694 0.7500
Ta4 0.8750 0.8806 0.7500

Results
symmetry	No. 122
total moment	0.0	μB/cell

---

Name the most stable of them. arrangement i.

---

Arrangement i

VASP calculation (PBE) on a relaxed structure of Ta3NbCl.

Cell lengths 4.5370, 4.5370, 4.5370 Å; angles 90.00, 90.00, 90.00 degrees
Sites, in units of the cell vectors:
Nb1 0.5000 0.5000 0.5000
Cl1 0.0000 0.0000 0.0000
Ta1 0.0000 0.5000 0.0000
Ta2 0.0000 0.0000 0.5000
Ta3 0.5000 0.0000 0.0000

Results
symmetry	No. 221
total moment	0.0	μB/cell

---

Arrangement ii

VASP calculation (PBE) on a relaxed structure of Ta3NbCl.

Cell lengths 4.9682, 4.9682, 4.9682 Å; angles 90.00, 90.00, 90.00 degrees
Sites, in units of the cell vectors:
Nb1 0.0000 0.0000 0.0000
Cl1 0.5000 0.5000 0.5000
Ta1 0.0000 0.5000 0.0000
Ta2 0.0000 0.0000 0.5000
Ta3 0.5000 0.0000 0.0000

Results
symmetry	No. 221
total moment	0.0	μB/cell

---

Name the most stable of them. arrangement i.